VASP calculation (PBE) on a relaxed Th4ZnRu crystal.

abc: 7.2810 7.2810 6.0114
angles: 90.00 90.00 90.00
Last column: nearest neighbours and their distance in Å.
Fractional positions:
1 Th 0.1511 0.3264 0.0000  2 Ru 3.02, 2 Zn 3.21, 1 Th 3.35
2 Th 0.1511 0.6736 0.5000  2 Ru 3.02, 2 Zn 3.21, 1 Th 3.35
3 Th 0.3264 0.1511 0.5000  2 Ru 3.02, 2 Zn 3.21, 1 Th 3.35
4 Th 0.3264 0.8489 0.0000  2 Ru 3.02, 2 Zn 3.21, 1 Th 3.35
5 Th 0.6736 0.1511 0.0000  2 Ru 3.02, 2 Zn 3.21, 1 Th 3.35
6 Th 0.6736 0.8489 0.5000  2 Ru 3.02, 2 Zn 3.21, 1 Th 3.35
7 Th 0.8489 0.3264 0.5000  2 Ru 3.02, 2 Zn 3.21, 1 Th 3.35
8 Th 0.8489 0.6736 0.0000  2 Ru 3.02, 2 Zn 3.21, 1 Th 3.35
9 Zn 0.5000 0.5000 0.2500  2 Zn 3.01, 8 Th 3.21
10 Zn 0.5000 0.5000 0.7500  2 Zn 3.01, 8 Th 3.21
11 Ru 0.0000 0.0000 0.2500  2 Ru 3.01, 8 Th 3.02
12 Ru 0.0000 0.0000 0.7500  2 Ru 3.01, 8 Th 3.02

DFT total energy ... -6.956 eV/atom
ΔH_f (0 K) ... -0.25 eV/atom
Crystal system ... tetragonal
V ... 26.56 Å³ per atom


VASP calculation (PBE) on a relaxed Th2Zn3Ru4 crystal.

abc: 8.6299 8.6299 7.2563
angles: 90.00 90.00 142.86
Last column: nearest neighbours and their distance in Å.
Fractional positions:
1 Th 0.1031 0.8969 0.9073  5 Ru 2.87-3.04, 2 Zn 3.16
2 Th 0.3969 0.6031 0.4073  5 Ru 2.87-3.04, 2 Zn 3.16
3 Th 0.6031 0.3969 0.5927  5 Ru 2.87-3.04, 2 Zn 3.16
4 Th 0.8969 0.1031 0.0927  5 Ru 2.87-3.04, 2 Zn 3.16
5 Zn 0.0000 0.0000 0.5000  6 Ru 2.60-2.70
6 Zn 0.0123 0.4877 0.7500  5 Ru 2.63-2.73, 2 Zn 2.75
7 Zn 0.4877 0.0123 0.2500  5 Ru 2.63-2.73, 2 Zn 2.75
8 Zn 0.5000 0.5000 0.0000  6 Ru 2.60-2.70
9 Zn 0.5123 0.9877 0.7500  5 Ru 2.63-2.73, 2 Zn 2.75
10 Zn 0.9877 0.5123 0.2500  5 Ru 2.63-2.73, 2 Zn 2.75
11 Ru 0.1649 0.8351 0.5114  5 Zn 2.63-2.73, 2 Ru 2.75
12 Ru 0.1736 0.3264 0.7500  3 Zn 2.60-2.64, 4 Ru 2.75, 2 Th 2.87
13 Ru 0.3264 0.1736 0.2500  3 Zn 2.60-2.64, 4 Ru 2.75, 2 Th 2.87
14 Ru 0.3351 0.6649 0.0114  5 Zn 2.63-2.73, 2 Ru 2.75
15 Ru 0.6649 0.3351 0.9886  5 Zn 2.63-2.73, 2 Ru 2.75
16 Ru 0.6736 0.8264 0.7500  3 Zn 2.60-2.64, 4 Ru 2.75, 2 Th 2.87
17 Ru 0.8264 0.6736 0.2500  3 Zn 2.60-2.64, 4 Ru 2.75, 2 Th 2.87
18 Ru 0.8351 0.1649 0.4886  5 Zn 2.63-2.73, 2 Ru 2.75

DFT total energy ... -6.453 eV/atom
ΔH_f (0 K) ... -0.26 eV/atom
Crystal system ... orthorhombic
V ... 18.13 Å³ per atom


VASP calculation (PBE) on a relaxed ThZn4Ru crystal.

abc: 5.2418 5.2418 5.2418
angles: 60.00 60.00 60.00
Last column: nearest neighbours and their distance in Å.
Fractional positions:
1 Th 0.0000 0.0000 0.0000  12 Zn 3.08, 4 Ru 3.21
2 Zn 0.1305 0.6232 0.6232  6 Zn 2.58-2.66
3 Zn 0.6232 0.1305 0.6232  6 Zn 2.58-2.66
4 Zn 0.6232 0.6232 0.1305  6 Zn 2.58-2.66
5 Zn 0.6232 0.6232 0.6232  6 Zn 2.58-2.66
6 Ru 0.2500 0.2500 0.2500  12 Zn 3.07, 4 Th 3.21

DFT total energy ... -3.866 eV/atom
ΔH_f (0 K) ... -0.23 eV/atom
Crystal system ... cubic
V ... 16.97 Å³ per atom


VASP calculation (PBE) on a relaxed ThZn2Ru2 crystal.

abc: 5.0030 5.0030 7.3448
angles: 98.79 98.79 83.18
Last column: nearest neighbours and their distance in Å.
Fractional positions:
1 Th 0.1538 0.8462 0.7500  2 Ru 2.60
2 Th 0.8462 0.1538 0.2500  2 Ru 2.60
3 Zn 0.2688 0.4025 0.0292  4 Ru 2.58-2.75, 2 Zn 2.73-2.74
4 Zn 0.4025 0.2688 0.5292  4 Ru 2.58-2.75, 2 Zn 2.73-2.74
5 Zn 0.5975 0.7312 0.4708  4 Ru 2.58-2.75, 2 Zn 2.73-2.74
6 Zn 0.7312 0.5975 0.9708  4 Ru 2.58-2.75, 2 Zn 2.73-2.74
7 Ru 0.0793 0.6026 0.3345  4 Zn 2.58-2.75, 1 Th 2.60
8 Ru 0.3974 0.9207 0.1655  4 Zn 2.58-2.75, 1 Th 2.60
9 Ru 0.6026 0.0793 0.8345  4 Zn 2.58-2.75, 1 Th 2.60
10 Ru 0.9207 0.3974 0.6655  4 Zn 2.58-2.75, 1 Th 2.60

DFT total energy ... -5.921 eV/atom
ΔH_f (0 K) ... -0.22 eV/atom
Crystal system ... monoclinic
V ... 17.87 Å³ per atom